[1]
Material: Ce2TmSb
Method: DFT, PBE
State: optimized geometry

Cell: 4.365 4.321 11.567 Å, 90.00 100.71 90.00°
Space group P2_1/m (No. 11)
Symmetry-distinct sites (fractional):
Ce1 0.009 0.250 0.122 (multiplicity 2)
Ce2 0.407 0.250 0.886 (multiplicity 2)
Tm1 0.304 0.750 0.611 (multiplicity 2)
Sb1 0.176 0.750 0.341 (multiplicity 2)

Output
* calculated total energy: -45.3 eV for the cell shown
* ΔE to the lowest computed polymorph: 0 meV per atom
* ΔE_f (raw): -0.546 eV/atom

[2]
Material: Ce2Y3TmSb6
Method: DFT, PBE
State: optimized geometry

Cell: 7.655 13.261 7.655 Å, 90.00 109.50 90.00°
Space group C2/m (No. 12)
Symmetry-distinct sites (fractional):
Ce1 0.000 0.166 0.000 (multiplicity 4)
Y1 0.000 0.000 0.500 (multiplicity 2)
Y2 0.000 0.331 0.500 (multiplicity 4)
Tm1 0.000 0.500 0.000 (multiplicity 2)
Sb1 0.243 0.500 0.746 (multiplicity 4)
Sb2 0.248 0.336 0.251 (multiplicity 8)

Output
* calculated total energy: -147.5 eV for the cell shown
* ΔE_f (raw): -1.108 eV/atom

Question: ΔE_f (raw) of number 1 (Ce2TmSb)?
Answer: -0.546 eV/atom